Here is an optimized crystal structure of ErTmCu2B2N2 from OQMD via LeMat-Bulk. Energies are from GGA-PBE.

Cell: 3.458 3.458 7.662 Å, 90.00 90.00 90.00°
Atoms (fractional coordinates):
B  0.000  0.000  0.324
Cu  0.000  0.500  0.500
N  0.000  0.000  0.136
Cu  0.500  0.000  0.500
Tm  0.500  0.500  0.163
B  0.500  0.500  0.676
N  0.500  0.500  0.865
Er  0.000  0.000  0.836

---

Here is an optimized crystal structure of LuAs2Pb from OQMD via LeMat-Bulk. Energies are from GGA-PBE.

Cell: 5.114 5.114 5.114 Å, 60.00 60.00 60.00°
Atoms (fractional coordinates):
As  0.750  0.750  0.750
Pb  0.500  0.500  0.500
As  0.000  0.000  0.000
Lu  0.250  0.250  0.250

---

Here is an optimized crystal structure of Pr3In3Ag2Pd from OQMD via LeMat-Bulk. Energies are from GGA-PBE.

Cell: 7.824 7.824 4.189 Å, 90.00 90.00 120.00°
Atoms (fractional coordinates):
In  0.753  0.000  0.500
Pr  0.594  0.594  0.000
In  0.247  0.247  0.500
Pr  0.000  0.406  0.000
Ag  0.667  0.333  0.500
Pd  0.000  0.000  0.000
Ag  0.333  0.667  0.500
In  0.000  0.753  0.500
Pr  0.406  0.000  0.000

---

Here is an optimized crystal structure of Nd5Sn4 from OQMD via LeMat-Bulk. Energies are from GGA-PBE.

Cell: 9.688 9.688 6.688 Å, 90.00 90.00 120.00°
Last column: magnetic moment on the atom in μB.
Atoms (fractional coordinates):
Sn  0.000  0.617  0.250  0.00
Sn  0.383  0.000  0.750  0.00
Nd  0.271  0.000  0.250  0.00
Nd  0.729  0.729  0.250  0.00
Sn  0.000  0.383  0.750  0.00
Nd  0.000  0.729  0.750  0.00
Nd  0.000  0.271  0.250  0.00
Sn  0.617  0.617  0.750  0.00
Nd  0.667  0.333  0.500  0.06
Nd  0.333  0.667  0.000  0.06
Sn  0.617  0.000  0.250  0.00
Nd  0.667  0.333  0.000  0.06
Sn  0.000  0.000  0.000  0.00
Sn  0.000  0.000  0.500  0.00
Nd  0.271  0.271  0.750  0.00
Nd  0.333  0.667  0.500  0.06
Nd  0.729  0.000  0.750  0.00
Sn  0.383  0.383  0.250  0.00

Computed properties:
relative energy among the computed polymorphs	41	meV/atom

---

Here is an optimized crystal structure of Dy2Y2Er2TmNi2Te2 from OQMD via LeMat-Bulk. Energies are from GGA-PBE.

Cell: 9.330 9.330 9.330 Å, 156.27 66.89 118.49°
Atoms (fractional coordinates):
Te  0.142  0.142  0.000
Ni  0.644  0.406  0.238
Dy  0.763  0.895  0.868
Y  0.100  0.746  0.354
Ni  0.168  0.406  0.762
Er  0.781  0.096  0.685
Y  0.392  0.746  0.646
Dy  0.027  0.895  0.132
Tm  0.477  0.477  0.000
Te  0.740  0.240  0.500
Er  0.412  0.096  0.315

Computed properties:
relative energy among the computed polymorphs	0	meV/atom

---

Here is an optimized crystal structure of PIrOsO from OQMD via LeMat-Bulk. Energies are from GGA-PBE.

Cell: 3.806 3.806 6.799 Å, 90.00 90.00 90.00°
Atoms (fractional coordinates):
P  0.500  0.000  0.282
O  0.000  0.000  0.000
Os  0.000  0.500  0.180
Os  0.500  0.000  0.820
Ir  0.000  0.000  0.500
Ir  0.500  0.500  0.500
P  0.000  0.500  0.718
O  0.500  0.500  0.000

Computed properties:
relative energy among the computed polymorphs	319	meV/atom

---

Here is an optimized crystal structure of BeAsPtO from OQMD via LeMat-Bulk. Energies are from GGA-PBE.

Cell: 3.683 3.683 7.886 Å, 90.00 90.00 89.99°
Atoms (fractional coordinates):
O  0.250  0.750  0.000
As  0.750  0.750  0.312
Pt  0.250  0.250  0.147
Pt  0.750  0.750  0.853
O  0.750  0.250  0.000
Be  0.250  0.750  0.500
Be  0.750  0.250  0.500
As  0.250  0.250  0.688

Computed properties:
relative energy among the computed polymorphs	1258	meV/atom

---

Here is an optimized crystal structure of GaMoPt2 from OQMD via LeMat-Bulk. Energies are from GGA-PBE.

Cell: 4.440 4.440 4.440 Å, 60.00 60.00 60.00°
Atoms (fractional coordinates):
Pt  0.750  0.750  0.750
Ga  0.500  0.500  0.500
Pt  0.000  0.000  0.000
Mo  0.250  0.250  0.250

---

Here is an optimized crystal structure of Nd2CuSi from OQMD via LeMat-Bulk. Energies are from GGA-PBE.

Cell: 4.167 5.828 7.905 Å, 90.00 90.00 90.00°
Last column: magnetic moment on the atom in μB.
Atoms (fractional coordinates):
Nd  0.500  0.129  0.677  0.10
Si  0.500  0.634  0.533  -0.01
Nd  0.000  0.623  0.821  0.08
Cu  0.000  0.141  0.969  0.02
Cu  0.000  0.859  0.469  0.02
Nd  0.500  0.871  0.177  0.11
Nd  0.000  0.377  0.321  0.09
Si  0.500  0.366  0.033  -0.01

---

Here is an optimized crystal structure of YMgAu2 from OQMD via LeMat-Bulk. Energies are from GGA-PBE.

Cell: 4.911 4.911 8.327 Å, 90.00 90.00 120.00°
Atoms (fractional coordinates):
Au  0.333  0.667  0.586
Au  0.333  0.667  0.914
Mg  0.667  0.333  0.750
Au  0.667  0.333  0.414
Au  0.667  0.333  0.086
Mg  0.333  0.667  0.250
Y  0.000  0.000  0.500
Y  0.000  0.000  0.000

---

Here is an optimized crystal structure of LiMgTaNi from OQMD via LeMat-Bulk. Energies are from GGA-PBE.

Cell: 4.370 4.370 4.370 Å, 60.00 60.00 60.00°
Atoms (fractional coordinates):
Li  0.500  0.500  0.500
Ni  0.250  0.250  0.250
Mg  0.750  0.750  0.750
Ta  0.000  0.000  0.000

Computed properties:
relative energy among the computed polymorphs	183	meV/atom

---

Here is an optimized crystal structure of PuSc4SbC2 from OQMD via LeMat-Bulk. Energies are from GGA-PBE.

Cell: 3.370 3.370 15.521 Å, 90.00 90.00 120.00°
Last column: magnetic moment on the atom in μB.
Atoms (fractional coordinates):
Sc  0.667  0.333  0.187  0.09
C  0.333  0.667  0.267  0.00
Sb  0.667  0.333  0.500  0.00
C  0.333  0.667  0.733  0.00
Sc  0.000  0.000  0.343  0.01
Sc  0.000  0.000  0.657  0.01
Pu  0.000  0.000  0.000  5.65
Sc  0.667  0.333  0.813  0.09

---

Here is an optimized crystal structure of CsNaPdS3 from OQMD via LeMat-Bulk. Energies are from GGA-PBE.

Cell: 8.006 8.006 10.233 Å, 90.00 90.00 152.55°
Atoms (fractional coordinates):
Na  0.051  0.949  0.250
Cs  0.758  0.242  0.250
Cs  0.242  0.758  0.750
S  0.100  0.900  0.493
S  0.440  0.560  0.250
Pd  0.500  0.500  0.500
S  0.900  0.100  0.993
S  0.900  0.100  0.507
Na  0.949  0.051  0.750
Pd  0.500  0.500  0.000
S  0.100  0.900  0.007
S  0.560  0.440  0.750

---

Here is an optimized crystal structure of Cs4CdBi2 from OQMD via LeMat-Bulk. Energies are from GGA-PBE.

Cell: 11.288 11.288 11.288 Å, 34.65 34.65 34.65°
Atoms (fractional coordinates):
Cs  0.617  0.617  0.617
Cs  0.383  0.383  0.383
Bi  0.912  0.912  0.912
Cs  0.791  0.791  0.791
Cd  0.000  0.000  0.000
Bi  0.088  0.088  0.088
Cs  0.209  0.209  0.209

---

Here is an optimized crystal structure of TcAgPdSe3 from OQMD via LeMat-Bulk. Energies are from GGA-PBE.

Cell: 6.899 6.899 9.868 Å, 90.00 90.00 151.16°
Last column: magnetic moment on the atom in μB.
Atoms (fractional coordinates):
Se  0.419  0.581  0.750  -0.01
Tc  0.500  0.500  0.000  1.05
Se  0.140  0.860  0.522  0.01
Ag  0.742  0.258  0.750  0.00
Pd  0.066  0.934  0.750  0.08
Se  0.140  0.860  0.978  0.01
Pd  0.934  0.066  0.250  0.08
Se  0.860  0.140  0.478  0.01
Tc  0.500  0.500  0.500  1.04
Se  0.581  0.419  0.250  -0.01
Ag  0.258  0.742  0.250  0.00
Se  0.860  0.140  0.022  0.01

---

Here is an optimized crystal structure of Lu4Ta2P3C3 from OQMD via LeMat-Bulk. Energies are from GGA-PBE.

Cell: 6.034 6.034 12.778 Å, 103.88 103.88 60.33°
Atoms (fractional coordinates):
Ta  0.531  0.361  0.093
P  0.720  0.584  0.749
C  0.352  0.796  0.500
P  0.416  0.280  0.751
Lu  0.042  0.200  0.610
Lu  0.703  0.877  0.610
C  0.204  0.648  0.000
Ta  0.469  0.639  0.907
P  0.113  0.887  0.750
P  0.584  0.720  0.249
C  0.500  0.000  0.000
C  0.648  0.204  0.500
Lu  0.800  0.958  0.890
C  0.796  0.352  0.000
P  0.887  0.113  0.250
Lu  0.297  0.123  0.390
Ta  0.639  0.469  0.407
Lu  0.877  0.703  0.110
Ta  0.361  0.531  0.593
Lu  0.958  0.800  0.390
Lu  0.123  0.297  0.890
C  0.000  0.500  0.500
P  0.280  0.416  0.251
Lu  0.200  0.042  0.110

---

Here is an optimized crystal structure of CoNiSbW from OQMD via LeMat-Bulk. Energies are from GGA-PBE.

Cell: 4.348 4.348 4.348 Å, 60.00 60.00 60.00°
Atoms (fractional coordinates):
Ni  0.500  0.500  0.500
W  0.250  0.250  0.250
Sb  0.000  0.000  0.000
Co  0.750  0.750  0.750

Computed properties:
relative energy among the computed polymorphs	35	meV/atom

---

Here is an optimized crystal structure of RbNaNiTe from OQMD via LeMat-Bulk. Energies are from GGA-PBE.

Cell: 5.514 5.514 5.514 Å, 60.00 60.00 60.00°
Atoms (fractional coordinates):
Ni  0.500  0.500  0.500
Na  0.750  0.750  0.750
Te  0.000  0.000  0.000
Rb  0.250  0.250  0.250

Computed properties:
relative energy among the computed polymorphs	170	meV/atom

---

Here is an optimized crystal structure of FeCuPbS3 from OQMD via LeMat-Bulk. Energies are from GGA-PBE.

Cell: 9.443 3.686 12.976 Å, 90.00 90.00 90.00°
Last column: magnetic moment on the atom in μB.
Atoms (fractional coordinates):
Fe  0.481  0.750  0.252  3.32
Fe  0.981  0.750  0.248  3.33
Pb  0.264  0.250  0.995  0.05
Fe  0.019  0.250  0.752  3.33
Pb  0.736  0.750  0.005  0.05
Cu  0.745  0.250  0.221  0.15
S  0.958  0.750  0.624  0.11
Pb  0.764  0.250  0.505  0.05
Fe  0.519  0.250  0.748  3.32
Cu  0.755  0.750  0.721  0.15
S  0.458  0.750  0.876  0.11
S  0.057  0.750  0.878  0.14
S  0.943  0.250  0.122  0.14
S  0.259  0.250  0.675  0.12
S  0.759  0.250  0.825  0.12
S  0.042  0.250  0.376  0.11
Pb  0.236  0.750  0.495  0.05
S  0.241  0.750  0.175  0.12
Cu  0.245  0.250  0.279  0.15
S  0.741  0.750  0.325  0.12
S  0.557  0.750  0.622  0.13
Cu  0.255  0.750  0.779  0.15
S  0.542  0.250  0.124  0.11
S  0.443  0.250  0.378  0.13

---

Here is an optimized crystal structure of NaTlPdPb from OQMD via LeMat-Bulk. Energies are from GGA-PBE.

Cell: 4.301 8.330 5.925 Å, 90.00 111.23 90.00°
Atoms (fractional coordinates):
Pb  0.855  0.952  0.710
Tl  0.137  0.046  0.274
Tl  0.863  0.546  0.726
Pd  0.282  0.750  0.564
Pb  0.145  0.452  0.290
Pd  0.718  0.250  0.436
Na  0.566  0.752  0.131
Na  0.434  0.252  0.869

Computed properties:
relative energy among the computed polymorphs	1	meV/atom

---

| no. | DFT total energy (eV per atom) |
| --- | --- |
| 1 | -6.722 |
| 2 | -4.400 |
| 3 | -4.243 |
| 4 | -5.145 |
| 5 | -5.509 |
| 6 | -7.468 |
| 7 | -4.519 |
| 8 | -6.687 |
| 9 | -5.115 |
| 10 | -4.295 |
| 11 | -4.974 |
| 12 | -8.244 |
| 13 | -3.751 |
| 14 | -2.176 |
| 15 | -4.901 |
| 16 | -7.979 |
| 17 | -7.043 |
| 18 | -2.529 |
| 19 | -4.915 |
| 20 | -3.356 |